[1]
An optimized crystal structure of Ba2Be2InO6, computed with PBE-GGA.

Cell and atoms, written as POSCAR:
```
Ba2Be2InO6
1.0
2.822 1.629 5.637
-2.822 1.629 5.637
0.000 -3.259 5.637
Ba Be In O
2 2 1 6
Direct
0.221 0.221 0.221 Ba
0.779 0.779 0.779 Ba
0.415 0.415 0.415 Be
0.585 0.585 0.585 Be
0.000 0.000 0.000 In
0.256 0.256 0.731 O
0.256 0.731 0.256 O
0.269 0.744 0.744 O
0.731 0.256 0.256 O
0.744 0.269 0.744 O
0.744 0.744 0.269 O
```

Summary:
E_tot   -6.21 eV per atom
Uncorrected formation energy   -2.2306 eV per atom
DOS at the Fermi energy   8.306 states/eV per cell
Crystal system   trigonal


[2]
An optimized crystal structure of Ac7Ir4Pd, computed with PBE-GGA.

Cell and atoms, written as POSCAR:
```
Ac7Ir4Pd
1.0
7.143 -2.125 0.000
7.143 2.125 0.000
-3.295 0.000 12.500
Ac Ir Pd
7 4 1
Direct
0.000 0.000 0.000 Ac
0.222 0.222 0.860 Ac
0.306 0.306 0.435 Ac
0.518 0.518 0.290 Ac
0.610 0.610 0.597 Ac
0.770 0.770 0.145 Ac
0.919 0.919 0.696 Ac
0.264 0.264 0.646 Ir
0.381 0.381 0.073 Ir
0.566 0.566 0.833 Ir
0.958 0.958 0.454 Ir
0.147 0.147 0.222 Pd
```

Summary:
E_tot   -6.41 eV per atom
DOS at the Fermi energy   6.725 states/eV per cell
Crystal system   monoclinic
Formation energy from the elements   -7.6 eV/f.u.


[3]
An optimized crystal structure of Ac2TlTe4, computed with PBE-GGA.

Cell and atoms, written as POSCAR:
```
Ac2TlTe4
1.0
7.683 0.000 0.000
0.000 7.652 0.000
-2.603 0.000 8.849
Ac Tl Te
4 2 8
Direct
0.196 0.250 0.041 Ac
0.253 0.250 0.566 Ac
0.747 0.750 0.434 Ac
0.804 0.750 0.959 Ac
0.284 0.750 0.325 Tl
0.716 0.250 0.675 Tl
0.013 0.513 0.739 Te
0.013 0.987 0.739 Te
0.428 0.750 0.060 Te
0.454 0.750 0.661 Te
0.546 0.250 0.339 Te
0.572 0.250 0.940 Te
0.987 0.013 0.261 Te
0.987 0.487 0.261 Te
```

Summary:
E_tot   -4.31 eV per atom
Uncorrected formation energy   -0.9993 eV per atom
DOS at the Fermi energy   5.306 states/eV per cell
Crystal system   monoclinic


[4]
An optimized crystal structure of Hf4Co2Hg, computed with PBE-GGA.

Cell and atoms, written as POSCAR:
```
Hf4Co2Hg
1.0
1.953 1.128 10.773
-1.953 1.128 10.773
0.000 -2.255 10.773
Hf Co Hg
4 2 1
Direct
0.103 0.103 0.103 Hf
0.300 0.300 0.300 Hf
0.700 0.700 0.700 Hf
0.897 0.897 0.897 Hf
0.400 0.400 0.400 Co
0.600 0.600 0.600 Co
0.500 0.500 0.500 Hg
```

Summary:
E_tot   -7.83 eV per atom
DOS at the Fermi energy   7.725 states/eV per cell
Crystal system   trigonal
Formation energy from the elements   -0.5 eV/f.u.


Number 1: M_tot 0.998 μB per formula unit. Number 2: M_tot 0.000 μB per formula unit. Number 3: M_tot 0.000 μB per formula unit. Number 4: M_tot 0.000 μB per formula unit.